# 1
Entry from the Open Quantum Materials Database: Sr2HgAu2 after structural relaxation (PBE).

The structure in extended XYZ format:
```
5
Lattice="-2.0886 2.0886 8.0842 2.0886 -2.0886 8.0842 2.0886 2.0886 -8.0842" Properties=species:S:1:pos:R:3 pbc="T T T"
Sr 0.0000 0.0000 1.7608
Sr 0.0000 0.0000 14.4077
Hg 0.0000 0.0000 8.0842
Au 2.0886 0.0000 4.0421
Au 0.0000 2.0886 4.0421
```

## Properties
E	-2.5024	eV per atom



# 2
Entry from the Open Quantum Materials Database: AcLuNp after structural relaxation (PBE).

The structure in extended XYZ format:
```
3
Lattice="0.0000 3.8263 3.8263 3.8263 0.0000 3.8263 3.8263 3.8263 0.0000" Properties=species:S:1:pos:R:3 pbc="T T T"
Ac 0.0000 0.0000 0.0000
Lu 5.7394 5.7394 5.7394
Np 1.9131 1.9131 1.9131
```

## Properties
E	-5.8635	eV per atom
E above lowest polymorph	0.36	eV per formula unit
total magnetization	6.15	μB/f.u.



# 3
Entry from the Open Quantum Materials Database: HfZrPb after structural relaxation (PBE).

The structure in extended XYZ format:
```
3
Lattice="0.0000 3.4980 3.4980 3.4980 0.0000 3.4980 3.4980 3.4980 0.0000" Properties=species:S:1:pos:R:3 pbc="T T T"
Hf 0.0000 0.0000 0.0000
Zr 1.7490 1.7490 1.7490
Pb 5.2469 5.2469 5.2469
```

## Properties
E	-6.7076	eV per atom
E above lowest polymorph	0.00	eV per formula unit
total magnetization	3.09	μB/f.u.



# 4
Entry from the Open Quantum Materials Database: Gd2Au after structural relaxation (PBE).

The structure in extended XYZ format:
```
6
Lattice="0.0000 6.3198 6.3198 6.3198 0.0000 6.3198 6.3198 6.3198 0.0000" Properties=species:S:1:pos:R:3 pbc="T T T"
Gd 0.0000 0.0000 0.0000
Gd 3.1599 3.1599 0.0000
Gd 3.1599 0.0000 3.1599
Gd 0.0000 3.1599 3.1599
Au 1.5800 1.5800 1.5800
Au 11.0597 11.0597 11.0597
```

## Properties
E	-3.2432	eV per atom
total magnetization	0.01	μB/f.u.



# 5
Entry from the Open Quantum Materials Database: SrZrBe after structural relaxation (PBE).

The structure in extended XYZ format:
```
3
Lattice="0.0000 3.3967 3.3967 3.3967 0.0000 3.3967 3.3967 3.3967 0.0000" Properties=species:S:1:pos:R:3 pbc="T T T"
Sr 0.0000 0.0000 0.0000
Zr 3.3967 3.3967 3.3967
Be 1.6983 1.6983 1.6983
```

## Properties
E	-3.8089	eV per atom
E above lowest polymorph	0.00	eV per formula unit
total magnetization	0.00	μB/f.u.



# 6
Entry from the Open Quantum Materials Database: SrHo4Ag after structural relaxation (PBE).

The structure in extended XYZ format:
```
6
Lattice="2.7839 1.6073 7.2279 -2.7839 1.6073 7.2279 0.0000 -3.2146 7.2279" Properties=species:S:1:pos:R:3 pbc="T T T"
Sr 0.0000 0.0000 0.0000
Ho 0.0000 0.0000 4.5500
Ho 0.0000 0.0000 8.0753
Ho 0.0000 0.0000 13.6084
Ho 0.0000 0.0000 17.1336
Ag 0.0000 0.0000 10.8418
```

## Properties
E	-3.5605	eV per atom
total magnetization	0.60	μB/f.u.



# 7
Entry from the Open Quantum Materials Database: LaInNiTe3 after structural relaxation (PBE).

The structure in extended XYZ format:
```
12
Lattice="2.0647 -7.5743 0.0000 2.0647 7.5743 0.0000 0.0000 0.0000 11.7343" Properties=species:S:1:pos:R:3 pbc="T T T"
La 0.0000 0.0000 0.0000
La 0.0000 0.0000 5.8672
In 2.0647 3.7943 8.8007
In 2.0647 -3.7943 2.9336
Ni 2.0647 0.4050 2.9336
Ni 2.0647 -0.4050 8.8007
Te 2.0647 6.3947 2.9336
Te 2.0647 2.1971 1.0553
Te 2.0647 2.1971 4.8119
Te 2.0647 -2.1971 6.9225
Te 2.0647 -2.1971 10.6790
Te 2.0647 -6.3947 8.8007
```

## Properties
E	-4.4347	eV per atom
total magnetization	0.22	μB/f.u.



# 8
Entry from the Open Quantum Materials Database: Ir2I after structural relaxation (PBE).

The structure in extended XYZ format:
```
6
Lattice="0.0000 3.8280 3.8280 3.8280 0.0000 3.8280 3.8280 3.8280 0.0000" Properties=species:S:1:pos:R:3 pbc="T T T"
Ir 0.0000 0.0000 0.0000
Ir 1.9140 1.9140 0.0000
Ir 1.9140 0.0000 1.9140
Ir 0.0000 1.9140 1.9140
I 2.8710 2.8710 2.8710
I 4.7850 4.7850 4.7850
```

## Properties
E	-5.1283	eV per atom
E above lowest polymorph	0.00	eV per formula unit
total magnetization	0.03	μB/f.u.



# 9
Entry from the Open Quantum Materials Database: PrNdNi2Ge4 after structural relaxation (PBE).

The structure in extended XYZ format:
```
8
Lattice="4.2648 0.0000 0.0000 0.0000 4.2489 0.0000 -2.0912 0.0000 8.4194" Properties=species:S:1:pos:R:3 pbc="T T T"
Pr 0.0000 0.0000 0.0000
Nd 0.0501 2.1244 3.6481
Ni 0.0643 2.1244 7.1730
Ni 2.1544 0.0000 4.8853
Ge 0.0306 0.0000 6.0317
Ge 2.1123 2.1244 1.1105
Ge 2.2051 0.0000 2.5401
Ge 2.1890 2.1244 6.0180
```

## Properties
E	-5.6420	eV per atom
total magnetization	0.00	μB/f.u.



# 10
Entry from the Open Quantum Materials Database: Gd2In8Pt after structural relaxation (PBE).

The structure in extended XYZ format:
```
11
Lattice="4.6971 0.0000 0.0000 0.0000 4.6971 0.0000 0.0000 0.0000 12.1309" Properties=species:S:1:pos:R:3 pbc="T T T"
Gd 0.0000 0.0000 2.2984
Gd 0.0000 0.0000 9.8325
In 0.0000 2.3485 0.0000
In 0.0000 2.3485 4.5376
In 0.0000 2.3485 7.5933
In 2.3485 0.0000 0.0000
In 2.3485 0.0000 4.5376
In 2.3485 0.0000 7.5933
In 2.3485 2.3485 2.3165
In 2.3485 2.3485 9.8144
Pt 0.0000 0.0000 6.0655
```

## Properties
E	-3.8303	eV per atom
total magnetization	0.02	μB/f.u.



# 11
Entry from the Open Quantum Materials Database: HoLu2Cu4Si2Ge2 after structural relaxation (PBE).

The structure in extended XYZ format:
```
11
Lattice="-2.0407 3.2946 6.8192 2.0407 -3.2946 6.8192 2.0407 3.2946 -6.8192" Properties=species:S:1:pos:R:3 pbc="T T T"
Ho 0.0000 0.0000 0.0000
Lu 2.0407 0.0000 5.0609
Lu 0.0000 3.2946 1.7583
Cu 2.0407 1.2632 -2.3852
Cu 2.0407 1.2632 2.3852
Cu 0.0000 2.0314 4.4340
Cu 0.0000 2.0314 9.2044
Si 0.0000 0.0000 2.9670
Si 0.0000 0.0000 10.6714
Ge 2.0407 2.0284 0.0000
Ge 0.0000 1.2662 6.8192
```

## Properties
E	-5.0487	eV per atom
E above lowest polymorph	0.00	eV per formula unit
total magnetization	0.00	μB/f.u.



> Among the records above, which one has the highest E?

Sr2HgAu2



Repeat the fifth record exactly.
Entry from the Open Quantum Materials Database: SrZrBe after structural relaxation (PBE).

The structure in extended XYZ format:
```
3
Lattice="0.0000 3.3967 3.3967 3.3967 0.0000 3.3967 3.3967 3.3967 0.0000" Properties=species:S:1:pos:R:3 pbc="T T T"
Sr 0.0000 0.0000 0.0000
Zr 3.3967 3.3967 3.3967
Be 1.6983 1.6983 1.6983
```

## Properties
E	-3.8089	eV per atom
E above lowest polymorph	0.00	eV per formula unit
total magnetization	0.00	μB/f.u.



> Which of these has the lowest E?

HfZrPb